1.
A geometry-optimized LiAcGa2Ni2 structure. Source: Alexandria, functional GGA-PBE.

Computed properties:
Mass density (g cm⁻³): 7.42
Magnetization (μB per atom): 0.000
Total DFT energy (no corrections) (eV/cell): -26.27
Formation energy (eV/atom): -0.44
Fermi-level density of states (states/eV/cell): 4.23

```
data_LiAcGa2Ni2
_chemical_formula_sum 'Li1 Ac1 Ga2 Ni2'
_space_group_name_H-M_alt 'P -3 m 1'
_space_group_IT_number 164
_space_group_name_Hall '-P 3 2"'
_cell_length_a 4.2478
_cell_length_b 4.2478
_cell_length_c 7.0249
_cell_angle_alpha 90.00
_cell_angle_beta 90.00
_cell_angle_gamma 120.00
loop_
_atom_site_label
_atom_site_fract_x
_atom_site_fract_y
_atom_site_fract_z
_atom_site_occupancy
Li1 0.0000 0.0000 0.0000 1
Ac1 0.0000 0.0000 0.5000 1
Ga1 0.3333 0.6667 0.8316 1
Ni1 0.3333 0.6667 0.1828 1
```


2.
A geometry-optimized Sc5Ni4Ag structure. Source: Alexandria, functional GGA-PBE.

Computed properties:
Mass density (g cm⁻³): 5.60
Magnetization (μB per atom): 0.000
Total DFT energy (no corrections) (eV/cell): -62.16
Formation energy (eV/atom): -0.45
Fermi-level density of states (states/eV/cell): 9.09

```
data_Sc5Ni4Ag
_chemical_formula_sum 'Sc5 Ni4 Ag1'
_space_group_name_H-M_alt 'P 4/m m m'
_space_group_IT_number 123
_space_group_name_Hall '-P 4 2'
_cell_length_a 3.179
_cell_length_b 3.179
_cell_length_c 16.633
_cell_angle_alpha 90.00
_cell_angle_beta 90.00
_cell_angle_gamma 90.00
loop_
_atom_site_label
_atom_site_fract_x
_atom_site_fract_y
_atom_site_fract_z
_atom_site_occupancy
Sc1 0.000 0.000 0.000 1
Sc2 0.000 0.000 0.191 1
Sc3 0.000 0.000 0.380 1
Ni1 0.500 0.500 0.096 1
Ni2 0.500 0.500 0.288 1
Ag1 0.500 0.500 0.500 1
```


3.
A geometry-optimized La2Sm2Cd15 structure. Source: Alexandria, functional GGA-PBE.

Computed properties:
Mass density (g cm⁻³): 7.92
Magnetization (μB per atom): 0.049
Total DFT energy (no corrections) (eV/cell): -108.75
Formation energy (eV/atom): -0.17
Fermi-level density of states (states/eV/cell): 38.07

```
data_La2Sm2Cd15
_chemical_formula_sum 'La6 Sm6 Cd45'
_space_group_name_H-M_alt 'R -3 m'
_space_group_IT_number 166
_space_group_name_Hall '-R 3 2"'
_cell_length_a 10.4188
_cell_length_b 10.4188
_cell_length_c 15.1546
_cell_angle_alpha 90.00
_cell_angle_beta 90.00
_cell_angle_gamma 120.00
loop_
_atom_site_label
_atom_site_fract_x
_atom_site_fract_y
_atom_site_fract_z
_atom_site_occupancy
La1 0.0000 0.0000 0.1661 1
Sm1 0.0000 0.0000 0.4008 1
Cd1 0.0000 0.2938 0.5000 1
Cd2 0.0000 0.5000 0.0000 1
Cd3 0.0138 0.5069 0.6417 1
```


4.
A geometry-optimized CsCuOs3 structure. Source: Alexandria, functional GGA-PBE.

Computed properties:
Mass density (g cm⁻³): 10.51
Magnetization (μB per atom): 0.943
Total DFT energy (no corrections) (eV/cell): -18.00
Formation energy (eV/atom): 4.13
Fermi-level density of states (states/eV/cell): 6.95

```
data_CsCuOs3
_chemical_formula_sum 'Cs1 Cu1 Os3'
_space_group_name_H-M_alt 'P m -3 m'
_space_group_IT_number 221
_space_group_name_Hall '-P 4 2 3'
_cell_length_a 4.949
_cell_length_b 4.949
_cell_length_c 4.949
_cell_angle_alpha 90.00
_cell_angle_beta 90.00
_cell_angle_gamma 90.00
loop_
_atom_site_label
_atom_site_fract_x
_atom_site_fract_y
_atom_site_fract_z
_atom_site_occupancy
Cs1 0.000 0.000 0.000 1
Cu1 0.500 0.500 0.500 1
Os1 0.000 0.000 0.500 1
```


5.
A geometry-optimized YHgAsSe2 structure. Source: Alexandria, functional GGA-PBE.

Computed properties:
Mass density (g cm⁻³): 4.72
Magnetization (μB per atom): 0.436
Total DFT energy (no corrections) (eV/cell): -18.09
Formation energy (no corrections) (kJ/mol of formula units): 28.4
Fermi-level density of states (states/eV/cell): 3.35

```
data_YHgAsSe2
_chemical_formula_sum 'Y1 Hg1 As1 Se2'
_space_group_name_H-M_alt 'P 4/m m m'
_space_group_IT_number 123
_space_group_name_Hall '-P 4 2'
_cell_length_a 5.432
_cell_length_b 5.432
_cell_length_c 6.221
_cell_angle_alpha 90.00
_cell_angle_beta 90.00
_cell_angle_gamma 90.00
loop_
_atom_site_label
_atom_site_fract_x
_atom_site_fract_y
_atom_site_fract_z
_atom_site_occupancy
Y1 0.000 0.000 0.000 1
Hg1 0.000 0.000 0.500 1
As1 0.500 0.500 0.500 1
Se1 0.000 0.500 0.000 1
```


6.
A geometry-optimized CsIrN2F structure. Source: Alexandria, functional GGA-PBE.

Computed properties:
Mass density (g cm⁻³): 6.34
Magnetization (μB per atom): 0.781
Total DFT energy (no corrections) (eV/cell): -14.63
Formation energy (no corrections) (kJ/mol of formula units): 1312.7
Fermi-level density of states (states/eV/cell): 4.04

```
data_CsIrN2F
_chemical_formula_sum 'Cs1 Ir1 N2 F1'
_space_group_name_H-M_alt 'P 4/m m m'
_space_group_IT_number 123
_space_group_name_Hall '-P 4 2'
_cell_length_a 4.445
_cell_length_b 4.445
_cell_length_c 4.935
_cell_angle_alpha 90.00
_cell_angle_beta 90.00
_cell_angle_gamma 90.00
loop_
_atom_site_label
_atom_site_fract_x
_atom_site_fract_y
_atom_site_fract_z
_atom_site_occupancy
Cs1 0.000 0.000 0.000 1
Ir1 0.500 0.500 0.500 1
N1 0.000 0.500 0.000 1
F1 0.000 0.000 0.500 1
```


7.
A geometry-optimized Be3GeRu structure. Source: Alexandria, functional GGA-PBE.

Computed properties:
Mass density (g cm⁻³): 4.95
Magnetization (μB per atom): 0.000
Total DFT energy (no corrections) (eV/cell): -19.51
Formation energy (eV/atom): 1.11
Fermi-level density of states (states/eV/cell): 2.32

```
data_Be3GeRu
_chemical_formula_sum 'Be3 Ge1 Ru1'
_space_group_name_H-M_alt 'P m -3 m'
_space_group_IT_number 221
_space_group_name_Hall '-P 4 2 3'
_cell_length_a 4.069
_cell_length_b 4.069
_cell_length_c 4.069
_cell_angle_alpha 90.00
_cell_angle_beta 90.00
_cell_angle_gamma 90.00
loop_
_atom_site_label
_atom_site_fract_x
_atom_site_fract_y
_atom_site_fract_z
_atom_site_occupancy
Be1 0.000 0.000 0.500 1
Ge1 0.000 0.000 0.000 1
Ru1 0.500 0.500 0.500 1
```


8.
A geometry-optimized SmYHg2 structure. Source: Alexandria, functional GGA-PBE.

Computed properties:
Mass density (g cm⁻³): 9.98
Magnetization (μB per atom): 0.157
Total DFT energy (no corrections) (eV/cell): -54.97
Formation energy (eV/atom): -0.49
Fermi-level density of states (states/eV/cell): 17.07

```
data_SmYHg2
_chemical_formula_sum 'Sm4 Y4 Hg8'
_space_group_name_H-M_alt 'F m -3 m'
_space_group_IT_number 225
_space_group_name_Hall '-F 4 2 3'
_cell_length_a 7.526
_cell_length_b 7.526
_cell_length_c 7.526
_cell_angle_alpha 90.00
_cell_angle_beta 90.00
_cell_angle_gamma 90.00
loop_
_atom_site_label
_atom_site_fract_x
_atom_site_fract_y
_atom_site_fract_z
_atom_site_occupancy
Sm1 0.000 0.000 0.000 1
Y1 0.000 0.000 0.500 1
Hg1 0.250 0.250 0.250 1
```


9.
A geometry-optimized La2VPdN structure. Source: Alexandria, functional GGA-PBE.

Computed properties:
Mass density (g cm⁻³): 7.00
Magnetization (μB per atom): 0.422
Total DFT energy (no corrections) (eV/cell): -36.27
Formation energy (no corrections) (kJ/mol of formula units): -364.2
Fermi-level density of states (states/eV/cell): 3.15

```
data_La2VPdN
_chemical_formula_sum 'La2 V1 Pd1 N1'
_space_group_name_H-M_alt 'P 4/m m m'
_space_group_IT_number 123
_space_group_name_Hall '-P 4 2'
_cell_length_a 5.254
_cell_length_b 5.254
_cell_length_c 3.862
_cell_angle_alpha 90.00
_cell_angle_beta 90.00
_cell_angle_gamma 90.00
loop_
_atom_site_label
_atom_site_fract_x
_atom_site_fract_y
_atom_site_fract_z
_atom_site_occupancy
La1 0.000 0.500 0.000 1
V1 0.000 0.000 0.500 1
Pd1 0.500 0.500 0.500 1
N1 0.000 0.000 0.000 1
```


10.
A geometry-optimized Li2Ga5Ru2 structure. Source: Alexandria, functional GGA-PBE.

Computed properties:
Mass density (g cm⁻³): 5.47
Magnetization (μB per atom): 0.000
Total DFT energy (no corrections) (eV/cell): -78.12
Formation energy (eV/atom): -0.17
Fermi-level density of states (states/eV/cell): 3.44

```
data_Li2Ga5Ru2
_chemical_formula_sum 'Li4 Ga10 Ru4'
_space_group_name_H-M_alt 'A m m 2'
_space_group_IT_number 38
_cell_length_a 7.678
_cell_length_b 7.959
_cell_length_c 5.612
_cell_angle_alpha 90.00
_cell_angle_beta 90.00
_cell_angle_gamma 90.00
loop_
_space_group_symop_operation_xyz
'x,y,z'
'-x,-y,z'
'-x,y,z'
'x,-y,z'
'x,y+1/2,z+1/2'
'-x,-y+1/2,z+1/2'
'-x,y+1/2,z+1/2'
'x,-y+1/2,z+1/2'
loop_
_atom_site_label
_atom_site_fract_x
_atom_site_fract_y
_atom_site_fract_z
_atom_site_occupancy
Li1 0.000 0.000 0.000 1
Li2 0.500 0.000 0.004 1
Ga1 0.203 0.250 0.250 1
Ga2 0.500 0.000 0.503 1
Ru1 0.195 0.000 0.500 1
```


11.
A geometry-optimized Ce4AsIr2 structure. Source: Alexandria, functional GGA-PBE.

Computed properties:
Mass density (g cm⁻³): 10.01
Magnetization (μB per atom): 0.285
Total DFT energy (no corrections) (eV/cell): -207.49
Formation energy (eV/atom): -0.82
Fermi-level density of states (states/eV/cell): 65.62

```
data_Ce4AsIr2
_chemical_formula_sum 'Ce16 As4 Ir8'
_space_group_name_H-M_alt 'I -4 2 d'
_space_group_IT_number 122
_space_group_name_Hall 'I -4 2bw'
_cell_length_a 9.023
_cell_length_b 9.023
_cell_length_c 8.316
_cell_angle_alpha 90.00
_cell_angle_beta 90.00
_cell_angle_gamma 90.00
loop_
_atom_site_label
_atom_site_fract_x
_atom_site_fract_y
_atom_site_fract_z
_atom_site_occupancy
Ce1 0.068 0.685 0.431 1
As1 0.000 0.000 0.500 1
Ir1 0.132 0.750 0.125 1
```


12.
A geometry-optimized Ce2As2S7 structure. Source: Alexandria, functional GGA-PBE.

Computed properties:
Mass density (g cm⁻³): 3.73
Magnetization (μB per atom): 0.144
Total DFT energy (no corrections) (eV/cell): -118.00
Formation energy (no corrections) (kJ/mol of formula units): -862.6
Fermi-level density of states (states/eV/cell): 26.10

```
data_Ce2As2S7
_chemical_formula_sum 'Ce4 As4 S14'
_space_group_name_H-M_alt 'C 1 2/m 1'
_space_group_IT_number 12
_cell_length_a 9.840
_cell_length_b 10.173
_cell_length_c 5.921
_cell_angle_alpha 90.00
_cell_angle_beta 100.68
_cell_angle_gamma 90.00
loop_
_space_group_symop_operation_xyz
'x,y,z'
'-x,-y,-z'
'-x,y,-z'
'x,-y,z'
'x+1/2,y+1/2,z'
'-x+1/2,-y+1/2,-z'
'-x+1/2,y+1/2,-z'
'x+1/2,-y+1/2,z'
loop_
_atom_site_label
_atom_site_fract_x
_atom_site_fract_y
_atom_site_fract_z
_atom_site_occupancy
Ce1 0.000 0.221 0.000 1
As1 0.235 0.500 0.439 1
S1 0.000 0.500 0.500 1
S2 0.076 0.000 0.262 1
S3 0.239 0.177 0.784 1
```